1.
## BaSiN2 (PBE)

Data for BaSiN2 after structural relaxation.

The structure in POSCAR format:
```
BaSiN2
1.0
6.008 0.000 0.000
0.000 10.067 0.000
-1.518 0.000 4.440
Ba Si N
4 4 8
Direct
0.000 0.152 0.250
0.000 0.848 0.750
0.500 0.348 0.750
0.500 0.652 0.250
0.000 0.496 0.750
0.000 0.504 0.250
0.500 0.004 0.250
0.500 0.996 0.750
0.171 0.411 0.079
0.171 0.589 0.579
0.329 0.089 0.921
0.329 0.911 0.421
0.671 0.089 0.579
0.671 0.911 0.079
0.829 0.411 0.421
0.829 0.589 0.921
```

## Properties
The value obtained for the spin magnetization is 0.00 μB per cell. The calculation puts the uncorrected formation energy at -388 kJ/mol of formula units. As for the space group: C2/c, No. 15. The total energy is -7.004 eV/atom.


2.
## Ba2SiN3 (PBE)

Data for Ba2SiN3 after structural relaxation.

The structure in POSCAR format:
```
Ba2SiN3
1.0
2.873 -5.950 0.000
2.873 5.950 0.000
0.000 0.000 12.833
Ba Si N
8 4 12
Direct
0.059 0.941 0.860
0.143 0.857 0.421
0.357 0.643 0.921
0.441 0.559 0.360
0.559 0.441 0.640
0.643 0.357 0.079
0.857 0.143 0.579
0.941 0.059 0.140
0.235 0.765 0.671
0.265 0.735 0.171
0.735 0.265 0.829
0.765 0.235 0.329
0.003 0.497 0.750
0.093 0.907 0.636
0.167 0.833 0.070
0.333 0.667 0.570
0.407 0.593 0.136
0.497 0.003 0.250
0.503 0.997 0.750
0.593 0.407 0.864
0.667 0.333 0.430
0.833 0.167 0.930
0.907 0.093 0.364
0.997 0.503 0.250
```

## Properties
The value obtained for the spin magnetization is 3.37 μB per cell. The calculation puts the uncorrected formation energy at -444 kJ/mol of formula units. As for the space group: Cmce, No. 64. The total energy is -6.474 eV/atom.


3.
## BaSi2N3 (PBE)

Data for BaSi2N3 after structural relaxation.

The structure in POSCAR format:
```
BaSi2N3
1.0
3.846 -5.424 0.000
3.846 5.424 0.000
0.000 0.000 4.627
Ba Si N
2 4 6
Direct
0.200 0.800 0.750
0.800 0.200 0.250
0.328 0.328 0.000
0.328 0.328 0.500
0.672 0.672 0.000
0.672 0.672 0.500
0.137 0.341 0.750
0.341 0.137 0.250
0.428 0.572 0.250
0.572 0.428 0.750
0.659 0.863 0.750
0.863 0.659 0.250
```

## Properties
The value obtained for the spin magnetization is 0.00 μB per cell. The calculation puts the uncorrected formation energy at -301 kJ/mol of formula units. As for the space group: Cmcm, No. 63. The total energy is -6.810 eV/atom.


4.
## BaSi2N2 (PBE)

Data for BaSi2N2 after structural relaxation.

The structure in POSCAR format:
```
BaSi2N2
1.0
7.364 0.000 0.000
0.000 7.364 0.000
0.000 0.000 2.962
Ba Si N
2 4 4
Direct
0.000 0.000 0.000
0.500 0.500 0.000
0.106 0.394 0.500
0.394 0.894 0.500
0.606 0.106 0.500
0.894 0.606 0.500
0.114 0.614 0.000
0.386 0.114 0.000
0.614 0.886 0.000
0.886 0.386 0.000
```

## Properties
The value obtained for the spin magnetization is 0.00 μB per cell. The calculation puts the uncorrected formation energy at 332 kJ/mol of formula units. As for the space group: P4/mbm, No. 127. The value obtained for the energy above the most stable polymorph in this dataset is 582 meV per atom. The total energy is -5.196 eV/atom.


5.
## Ba4Si2N (PBE)

Data for Ba4Si2N after structural relaxation.

The structure in POSCAR format:
```
Ba4Si2N
1.0
6.063 0.000 0.000
0.000 6.063 0.000
0.000 0.000 14.287
Ba Si N
8 4 2
Direct
0.000 0.000 0.177
0.000 0.000 0.823
0.000 0.500 0.000
0.000 0.500 0.500
0.500 0.000 0.000
0.500 0.000 0.500
0.500 0.500 0.323
0.500 0.500 0.677
0.000 0.000 0.411
0.000 0.000 0.589
0.500 0.500 0.089
0.500 0.500 0.911
0.000 0.000 0.000
0.500 0.500 0.500
```

## Properties
The value obtained for the spin magnetization is 0.00 μB per cell. The calculation puts the uncorrected formation energy at -124 kJ/mol of formula units. As for the space group: I4/mmm, No. 139. The total energy is -4.021 eV/atom.


6.
## BaSiN (PBE)

Data for BaSiN after structural relaxation.

The structure in POSCAR format:
```
BaSiN
1.0
10.007 0.000 0.000
0.000 4.551 0.000
0.000 0.000 5.705
Ba Si N
4 4 4
Direct
0.158 0.250 0.031
0.342 0.750 0.531
0.658 0.250 0.469
0.842 0.750 0.969
0.000 0.000 0.500
0.000 0.500 0.500
0.500 0.000 0.000
0.500 0.500 0.000
0.074 0.750 0.272
0.426 0.250 0.772
0.574 0.750 0.228
0.926 0.250 0.728
```

## Properties
The value obtained for the spin magnetization is 0.00 μB per cell. The calculation puts the uncorrected formation energy at -87 kJ/mol of formula units. As for the space group: Pnma, No. 62. The total energy is -5.523 eV/atom.


7.
## Ba5SiN6 (PBE)

Data for Ba5SiN6 after structural relaxation.

The structure in POSCAR format:
```
Ba5SiN6
1.0
3.224 -6.423 0.000
3.224 6.423 0.000
-0.561 0.000 6.407
Ba Si N
5 1 6
Direct
0.000 0.000 0.000
0.168 0.832 0.500
0.339 0.661 0.000
0.661 0.339 0.000
0.832 0.168 0.500
0.500 0.500 0.500
0.030 0.376 0.230
0.327 0.327 0.676
0.376 0.030 0.230
0.624 0.970 0.770
0.673 0.673 0.324
0.970 0.624 0.770
```

## Properties
The value obtained for the spin magnetization is 0.00 μB per cell. The calculation puts the uncorrected formation energy at 1 kJ/mol of formula units. As for the space group: C2/m, No. 12. The total energy is -5.415 eV/atom.


8.
## Ba3Si2N4 (PBE)

Data for Ba3Si2N4 after structural relaxation.

The structure in POSCAR format:
```
Ba3Si2N4
1.0
-2.850 8.120 3.864
2.850 -8.120 3.864
2.850 8.120 -3.864
Ba Si N
6 4 8
Direct
0.173 0.065 0.108
0.180 0.430 0.750
0.457 0.065 0.392
0.543 0.935 0.608
0.820 0.570 0.250
0.827 0.935 0.892
0.104 0.639 0.465
0.326 0.361 0.965
0.674 0.639 0.035
0.896 0.361 0.535
0.150 0.577 0.572
0.184 0.000 0.684
0.184 0.500 0.184
0.495 0.423 0.072
0.505 0.577 0.928
0.816 0.000 0.316
0.816 0.500 0.816
0.850 0.423 0.428
```

## Properties
The value obtained for the spin magnetization is 0.76 μB per cell. The calculation puts the uncorrected formation energy at -807 kJ/mol of formula units. As for the space group: Imma, No. 74. The total energy is -6.476 eV/atom.